#A
DFT (SCAN) results for IrOsRh2 at its PBEsol-relaxed geometry.

```
IrOsRh2
1.0
-2.4184 -0.2538 1.1253
3.1171 -0.2232 3.4584
-0.5797 4.6118 -0.2056
Rh Os Ir
2 1 1
Direct
0.2489 0.4979 0.7512
0.0021 0.0041 0.0015
0.7510 0.5020 0.2530
0.4980 0.9960 0.4944
```

Its space group is Cm, No. 8. The value obtained for the total magnetization is 0.00 μB/f.u.

---

#B
DFT (SCAN) results for IrOsRh2 at its PBEsol-relaxed geometry.

```
IrOsRh2
1.0
3.7952 0.0000 0.0000
0.0000 3.7952 0.0000
-1.8976 -1.8976 3.8025
Ir Rh Os
1 2 1
Direct
0.0000 0.0000 0.0000
0.5000 0.5000 0.0000
0.7500 0.2500 0.5000
0.2500 0.7500 0.5000
```

Its space group is I-4m2, No. 119. The value obtained for the total magnetization is 0.00 μB/f.u.

---

The structure with the most favorable energy is #A; the runner-up is 1.4 kJ/mol of atoms above it.

---

#A
DFT (SCAN) results for IrOsRh2 at its PBEsol-relaxed geometry.

```
IrOsRh2
1.0
3.7874 0.0000 0.0000
0.0000 3.7874 0.0000
-1.8937 -1.8937 3.8217
Ir Rh Os
1 2 1
Direct
0.5000 0.5000 0.0000
0.7500 0.2500 0.5000
0.2500 0.7500 0.5000
0.0000 0.0000 0.0000
```

Its space group is I4/mmm, No. 139. The value obtained for the total magnetization is 0.00 μB/f.u.

---

#B
DFT (SCAN) results for IrOsRh2 at its PBEsol-relaxed geometry.

```
IrOsRh2
1.0
2.6853 0.0000 0.0000
0.0000 3.8024 0.0000
0.0000 0.0000 5.3719
Os Rh Ir
1 2 1
Direct
0.5000 0.5000 0.7487
0.0000 0.0000 0.9983
0.5000 0.5000 0.2487
0.0000 0.0000 0.5043
```

Its space group is Pmm2, No. 25. The value obtained for the total magnetization is 0.00 μB/f.u.

---

#C
DFT (SCAN) results for IrOsRh2 at its PBEsol-relaxed geometry.

```
IrOsRh2
1.0
3.7905 0.0000 0.0000
0.0000 3.7905 0.0000
0.0000 0.0000 3.8153
Ir Rh Os
1 2 1
Direct
0.5000 0.5000 0.5000
0.0000 0.5000 0.0000
0.5000 0.0000 0.0000
0.0000 0.0000 0.5000
```

Its space group is P4/mmm, No. 123. The value obtained for the total magnetization is 0.00 μB/f.u.

---

The structure with the most favorable energy is #B; the runner-up is 4.9 kJ/mol of atoms above it.

---

#A
DFT (SCAN) results for IrOs2Rh at its PBEsol-relaxed geometry.

```
IrOs2Rh
1.0
-2.7663 1.4416 -2.1520
-2.5629 -1.9794 1.9685
2.2834 3.2078 2.5506
Ir Os Rh
1 2 1
Direct
0.5000 0.5000 0.0000
0.7500 0.2500 0.5000
0.2500 0.7500 0.5000
0.0000 0.0000 0.0000
```

Its space group is I4/mmm, No. 139. The value obtained for the total magnetization is 0.00 μB/f.u.

---

#B
DFT (SCAN) results for IrOs2Rh at its PBEsol-relaxed geometry.

```
IrOs2Rh
1.0
2.6807 0.0000 0.0000
0.0000 2.6807 0.0000
0.0000 0.0000 7.7014
Os Rh Ir
2 1 1
Direct
0.0000 0.0000 0.2496
0.0000 0.0000 0.7504
0.5000 0.5000 0.0000
0.5000 0.5000 0.5000
```

Its space group is P4/mmm, No. 123. The value obtained for the total magnetization is 0.00 μB/f.u.

---

#C
DFT (SCAN) results for IrOs2Rh at its PBEsol-relaxed geometry.

```
IrOs2Rh
1.0
-2.4815 -0.6969 -0.7825
-0.7293 -0.2959 2.5761
-2.1338 7.3303 0.2379
Ir Os Rh
1 2 1
Direct
0.5000 0.5000 0.7531
0.0000 0.0000 0.0010
0.5000 0.5000 0.2491
0.0000 0.0000 0.4968
```

Its space group is P4mm, No. 99. The value obtained for the total magnetization is 0.00 μB/f.u.

---

#D
DFT (SCAN) results for IrOs2Rh at its PBEsol-relaxed geometry.

```
IrOs2Rh
1.0
2.6912 0.0000 0.0000
1.3456 2.3306 0.0000
1.3456 0.7769 8.8309
Rh Ir Os
1 1 2
Direct
0.5000 0.5000 0.5000
0.0000 0.0000 0.0000
0.7502 0.7502 0.7495
0.2498 0.2498 0.2506
```

Its space group is R-3m, No. 166. The value obtained for the total magnetization is 0.00 μB/f.u.

---

The structure with the most favorable energy is #C; the runner-up is 2.1 kJ/mol of atoms above it.

---

#A
DFT (SCAN) results for IrOs2Ru at its PBEsol-relaxed geometry.

```
IrOs2Ru
1.0
3.8178 0.0000 0.0000
0.0000 3.8178 0.0000
-1.9089 -1.9089 3.7919
Ru Os Ir
1 2 1
Direct
0.5000 0.5000 0.0000
0.7500 0.2500 0.5000
0.0000 0.0000 0.0000
0.2500 0.7500 0.5000
```

Its space group is I-4m2, No. 119. The value obtained for the total magnetization is 0.00 μB/f.u.

---

#B
DFT (SCAN) results for IrOs2Ru at its PBEsol-relaxed geometry.

```
IrOs2Ru
1.0
3.2641 0.0000 0.0000
0.0000 3.2641 0.0000
0.0000 0.0000 5.3782
Os Ru Ir
2 1 1
Direct
0.0000 0.0000 0.2501
0.0000 0.0000 0.7499
0.5000 0.5000 0.0000
0.5000 0.5000 0.5000
```

Its space group is P4/mmm, No. 123. The value obtained for the total magnetization is 2.34 μB/f.u.

---

The structure with the most favorable energy is #A; the runner-up is 49.0 kJ/mol of atoms above it.

---

#A
DFT (SCAN) results for IrOs2Ru at its PBEsol-relaxed geometry.

```
IrOs2Ru
1.0
-2.5151 -0.9580 -0.0484
0.5649 -1.5890 2.0981
-2.2003 5.5348 4.7844
Ir Ru Os
1 1 2
Direct
0.5000 0.5000 0.7492
0.0000 0.0000 0.4982
0.0000 0.0000 0.0014
0.5000 0.5000 0.2512
```

Its space group is P4mm, No. 99. The value obtained for the total magnetization is 0.00 μB/f.u.

---

#B
DFT (SCAN) results for IrOs2Ru at its PBEsol-relaxed geometry.

```
IrOs2Ru
1.0
2.6850 0.0000 0.0000
0.0000 2.6850 0.0000
0.0000 0.0000 7.6626
Os Ir Ru
2 1 1
Direct
0.0000 0.0000 0.7528
0.0000 0.0000 0.2472
0.5000 0.5000 0.5000
0.5000 0.5000 0.0000
```

Its space group is P4/mmm, No. 123. The value obtained for the total magnetization is 0.00 μB/f.u.

---

#C
DFT (SCAN) results for IrOs2Ru at its PBEsol-relaxed geometry.

```
IrOs2Ru
1.0
-2.4055 -0.6891 0.9840
-0.6759 -2.0959 -3.1201
2.2073 -4.2813 2.3978
Ir Ru Os
1 1 2
Direct
0.5000 0.5000 0.5000
0.5000 0.5000 0.0000
0.0000 0.0000 0.2456
0.0000 0.0000 0.7544
```

Its space group is Pmmm, No. 47. The value obtained for the total magnetization is 0.00 μB/f.u.

---

The structure with the most favorable energy is #A; the runner-up is 0.6 kJ/mol of atoms above it.

---

#A
DFT (SCAN) results for IrOs2Ru at its PBEsol-relaxed geometry.

```
IrOs2Ru
1.0
-0.7187 -1.7588 -1.9044
-2.1053 -1.3466 3.9381
-3.1894 3.0212 -1.5865
Os Ru Ir
2 1 1
Direct
0.7497 0.4994 0.2511
0.0011 0.0021 0.0026
0.4984 0.9967 0.4963
0.2509 0.5018 0.7500
```

Its space group is Cm, No. 8. The value obtained for the total magnetization is 0.00 μB/f.u.

---

#B
DFT (SCAN) results for IrOs2Ru at its PBEsol-relaxed geometry.

```
IrOs2Ru
1.0
-0.3556 -2.6670 0.0624
2.7343 -0.3029 2.6371
-3.6856 0.5824 3.8884
Ru Os Ir
1 2 1
Direct
0.0000 0.0000 0.4969
0.0000 0.0000 0.0033
0.5000 0.5000 0.2509
0.5000 0.5000 0.7490
```

Its space group is Pmm2, No. 25. The value obtained for the total magnetization is 0.00 μB/f.u.

---

The structure with the most favorable energy is #B; the runner-up is 0.5 kJ/mol of atoms above it.